Below is an optimized crystal structure of TlFeAs2, with properties calculated at the PBE level.

Cell lengths 5.6140, 5.6140, 5.6140 Å; angles 137.55, 137.55, 61.59 degrees
Element x y z (fractional)
1 Tl 0.0000 0.0000 0.0000
2 Fe 0.5000 0.5000 0.0000
3 As 0.2500 0.7500 0.5000
4 As 0.7500 0.2500 0.5000

## Properties
Space-group type: No. 139
Energy above the most stable polymorph in this dataset: 545 meV per atom
Energy relative to the elements: 0.5803 eV/atom
Raw total energy: -17.807 eV for the cell shown